Density functional theory data (PBE-GGA) for an optimized crystal structure of Sm3ErC8.

a b c (Å): 7.1545 7.1545 7.5923
angles (deg): 90.00 90.00 90.00
With the nearest neighbours (Å) after each atom.
Space group I-42m (No. 121)
Asymmetric unit:
Sm 0.0000 0.0000 0.0000  8 C 2.56-2.66
Sm 0.0000 0.5000 0.2500  8 C 2.70
Er 0.0000 0.0000 0.5000  4 C 2.34
C 0.1602 0.1602 0.2774  1 C 1.29
C 0.2347 0.2347 0.8742  1 C 1.29

Its crystal system is tetragonal. The calculation puts the formation energy from the elements at 141 meV per atom.

Density functional theory data (PBE-GGA) for an optimized crystal structure of K3Tm3GaSe8.

a b c (Å): 13.9912 8.0698 9.2014
angles (deg): 90.00 120.47 90.00
With the nearest neighbours (Å) after each atom.
Space group C2/m (No. 12)
Asymmetric unit:
K 0.0000 0.0000 0.0000  6 Se 3.31-3.33
K 0.2500 0.2500 0.0000  6 Se 3.31-3.33
Tm 0.0000 0.5000 0.5000  6 Se 2.84
Tm 0.2500 0.2500 0.5000  6 Se 2.84
Ga 0.0000 0.0000 0.5000  6 Se 2.70-2.71
Se 0.0151 0.2391 0.3061  1 Ga 2.71, 2 Tm 2.84
Se 0.2235 0.0000 0.6935  1 Ga 2.70, 2 Tm 2.84
Se 0.2347 0.5000 0.7039  3 Tm 2.84

Its crystal system is monoclinic. The uncorrected formation energy is -2017 kJ/mol of formula units.

Density functional theory data (PBE-GGA) for an optimized crystal structure of SmDyTmAg.

a b c (Å): 3.5697 3.5697 8.8376
angles (deg): 90.00 90.00 90.00
With the nearest neighbours (Å) after each atom.
Space group P4mm (No. 99)
Asymmetric unit:
Sm 0.0000 0.0000 0.0000  4 Sm 3.57, 4 Tm 3.59, 4 Dy 3.61
Dy 0.5000 0.5000 0.7083  4 Ag 3.17
Tm 0.5000 0.5000 0.2882  4 Ag 3.09
Ag 0.0000 0.0000 0.4907  4 Tm 3.09, 4 Dy 3.17

Its crystal system is tetragonal. The calculation puts the formation energy from the elements at -135 meV per atom. The calculation puts the energy above the lowest structure with this stoichiometry at 0 kJ/mol of formula units.

Density functional theory data (PBE-GGA) for an optimized crystal structure of Ba2GePdF.

a b c (Å): 6.1940 6.1940 4.6602
angles (deg): 90.00 90.00 90.00
With the nearest neighbours (Å) after each atom.
Space group P4/mmm (No. 123)
Asymmetric unit:
Ba 0.0000 0.5000 0.0000  2 Pd 3.10
Ge 0.0000 0.0000 0.5000  2 Pd 2.33
Pd 0.0000 0.0000 0.0000  2 Ge 2.33
F 0.5000 0.5000 0.5000  8 Ba 3.88

Its crystal system is tetragonal. The uncorrected formation energy is -510 kJ/mol of formula units. The calculation puts the energy above the lowest structure with this stoichiometry at 0 kJ/mol of formula units.

E_tot readings, ordered: -7.569, -4.568, -4.296, -4.162 eV/atom